# 1
## Co3Ag (PBE)

Data for a relaxed Co3Ag crystal.

a = 8.7604 Å, b = 8.7604 Å, c = 8.7604 Å
α = 17.13°, β = 17.13°, γ = 17.13°
Fractional positions:
1 Ag 0.0000 0.0000 0.0000
2 Co 0.2416 0.2416 0.2416
3 Co 0.5000 0.5000 0.5000
4 Co 0.7584 0.7584 0.7584

Results
Formation energy from the elements (eV per atom): 0.262

---

# 2
## Co3Ag (PBE)

Data for a relaxed Co3Ag crystal.

a = 5.0196 Å, b = 5.0196 Å, c = 5.0196 Å
α = 148.36°, β = 128.39°, γ = 61.82°
Fractional positions:
1 Ag 0.0000 0.0000 0.0000
2 Co 0.2730 0.7730 0.5000
3 Co 0.5000 0.5000 0.0000
4 Co 0.7270 0.2270 0.5000

Results
Formation energy from the elements (eV per atom): 0.373

---

# 3
## CoAg (PBE)

Data for a relaxed CoAg crystal.

a = 4.3454 Å, b = 8.1566 Å, c = 4.9573 Å
α = 90.00°, β = 90.00°, γ = 90.00°
Fractional positions:
1 Co 0.5000 0.3542 0.9950
2 Co 0.5000 0.6458 0.9950
3 Co 0.5000 0.8542 0.4950
4 Co 0.5000 0.1458 0.4950
5 Co 0.0000 0.0000 0.3549
6 Co 0.0000 0.5000 0.8549
7 Ag 0.0000 0.1751 0.8207
8 Ag 0.0000 0.8249 0.8207
9 Ag 0.0000 0.6751 0.3207
10 Ag 0.0000 0.3249 0.3207
11 Ag 0.5000 0.0000 0.0157
12 Ag 0.5000 0.5000 0.5157

Results
Formation energy from the elements (eV per atom): 0.428

---

# 4
## CoAg2 (PBE)

Data for a relaxed CoAg2 crystal.

a = 13.1638 Å, b = 13.1638 Å, c = 13.1638 Å
α = 168.09°, β = 168.09°, γ = 16.87°
Fractional positions:
1 Co 0.7500 0.2500 0.5000
2 Co 0.0000 0.0000 0.0000
3 Ag 0.4240 0.4240 0.0000
4 Ag 0.5760 0.5760 0.0000
5 Ag 0.1740 0.6740 0.5000
6 Ag 0.3260 0.8260 0.5000

Results
Energy above the lowest structure with this stoichiometry (eV per formula unit): 0.41
Formation energy from the elements (eV per atom): 0.411

---

# 5
## CoAg (PBE)

Data for a relaxed CoAg crystal.

a = 2.7319 Å, b = 5.3976 Å, c = 4.0970 Å
α = 90.00°, β = 90.00°, γ = 75.34°
Fractional positions:
1 Ag 0.8234 0.3531 0.2500
2 Ag 0.1766 0.6469 0.7500
3 Co 0.5530 0.8939 0.2500
4 Co 0.4470 0.1061 0.7500

Results
Formation energy from the elements (eV per atom): 0.394

---

# 6
## CoAg (PBE)

Data for a relaxed CoAg crystal.

a = 4.3137 Å, b = 5.0353 Å, c = 8.1070 Å
α = 90.00°, β = 90.00°, γ = 90.00°
Fractional positions:
1 Co 0.0000 0.0685 0.6667
2 Co 0.5000 0.9315 0.8333
3 Co 0.5000 0.9315 0.1667
4 Co 0.0000 0.0685 0.3333
5 Co 0.0000 0.0685 0.0000
6 Co 0.5000 0.9315 0.5000
7 Ag 0.0000 0.6068 0.8333
8 Ag 0.5000 0.3932 0.6667
9 Ag 0.5000 0.3932 0.3333
10 Ag 0.0000 0.6068 0.1667
11 Ag 0.0000 0.6066 0.5000
12 Ag 0.5000 0.3934 0.0000

Results
Formation energy from the elements (eV per atom): 0.427

---

# 7
## Co3Ag4 (PBE)

Data for a relaxed Co3Ag4 crystal.

a = 13.7324 Å, b = 13.7324 Å, c = 13.7324 Å
α = 168.38°, β = 168.38°, γ = 16.46°
Fractional positions:
1 Co 0.0000 0.0000 0.0000
2 Co 0.2741 0.2741 0.0000
3 Co 0.7259 0.7259 0.0000
4 Ag 0.1530 0.1530 0.0000
5 Ag 0.4292 0.4292 0.0000
6 Ag 0.5708 0.5708 0.0000
7 Ag 0.8470 0.8470 0.0000

Results
Formation energy from the elements (eV per atom): 0.289

---

# 8
## Co3Ag (PBE)

Data for a relaxed Co3Ag crystal.

a = 4.5298 Å, b = 4.5298 Å, c = 4.5298 Å
α = 131.78°, β = 131.78°, γ = 70.57°
Fractional positions:
1 Ag 0.0000 0.0000 0.0000
2 Co 0.2500 0.7500 0.5000
3 Co 0.5000 0.5000 0.0000
4 Co 0.7500 0.2500 0.5000

Results
Formation energy from the elements (eV per atom): 0.369

---

# 9
## CoAg5 (PBE)

Data for a relaxed CoAg5 crystal.

a = 7.6374 Å, b = 7.6374 Å, c = 4.7309 Å
α = 90.00°, β = 90.00°, γ = 158.57°
Fractional positions:
1 Co 0.8890 0.1110 0.5000
2 Ag 0.9969 0.0031 0.0000
3 Ag 0.6656 0.3344 0.0000
4 Ag 0.3359 0.6641 0.0000
5 Ag 0.5505 0.4495 0.5000
6 Ag 0.2288 0.7712 0.5000

Results
Energy above the lowest structure with this stoichiometry (eV per formula unit): 0.03
Formation energy from the elements (eV per atom): 0.236

---

# 10
## Co4Ag5 (PBE)

Data for a relaxed Co4Ag5 crystal.

a = 6.2727 Å, b = 6.2727 Å, c = 6.2727 Å
α = 95.24°, β = 95.24°, γ = 144.81°
Fractional positions:
1 Co 0.0000 0.3631 0.3631
2 Co 0.0000 0.6369 0.6369
3 Co 0.3631 0.0000 0.3631
4 Co 0.6369 0.0000 0.6369
5 Ag 0.0000 0.0000 0.0000
6 Ag 0.3304 0.3304 0.6608
7 Ag 0.3304 0.6696 0.0000
8 Ag 0.6696 0.3304 0.0000
9 Ag 0.6696 0.6696 0.3392

Results
Formation energy from the elements (eV per atom): 0.329

---

# 11
## CoAg5 (PBE)

Data for a relaxed CoAg5 crystal.

a = 5.3522 Å, b = 5.3522 Å, c = 4.7605 Å
α = 90.00°, β = 90.00°, γ = 120.00°
Fractional positions:
1 Co 0.0000 0.0000 0.0000
2 Ag 0.0000 0.5000 0.5000
3 Ag 0.3333 0.6667 0.0000
4 Ag 0.5000 0.0000 0.5000
5 Ag 0.5000 0.5000 0.5000
6 Ag 0.6667 0.3333 0.0000

Results
Energy above the lowest structure with this stoichiometry (eV per formula unit): 2.08
Formation energy from the elements (eV per atom): 0.578

---

# 12
## CoAg (PBE)

Data for a relaxed CoAg crystal.

a = 4.0011 Å, b = 4.0011 Å, c = 4.0011 Å
α = 60.00°, β = 60.00°, γ = 60.00°
Fractional positions:
1 Ag 0.0000 0.0000 0.0000
2 Co 0.2500 0.2500 0.2500

Results
Formation energy from the elements (eV per atom): 1.604

---

# 13
## CoAg2 (PBE)

Data for a relaxed CoAg2 crystal.

a = 7.6953 Å, b = 7.6953 Å, c = 2.7634 Å
α = 90.00°, β = 90.00°, γ = 120.00°
Fractional positions:
1 Co 0.0000 0.0000 0.5000
2 Co 0.3333 0.6667 0.0000
3 Co 0.6667 0.3333 0.0000
4 Ag 0.0000 0.3017 0.0000
5 Ag 0.0000 0.6354 0.5000
6 Ag 0.3017 0.0000 0.0000
7 Ag 0.6983 0.6983 0.0000
8 Ag 0.6354 0.0000 0.5000
9 Ag 0.3646 0.3646 0.5000

Results
Energy above the lowest structure with this stoichiometry (eV per formula unit): 0.49
Formation energy from the elements (eV per atom): 0.437

---

# 14
## CoAg2 (PBE)

Data for a relaxed CoAg2 crystal.

a = 7.7710 Å, b = 7.7710 Å, c = 4.5055 Å
α = 90.00°, β = 90.00°, γ = 159.71°
Fractional positions:
1 Co 0.2268 0.7732 0.7500
2 Co 0.7732 0.2268 0.2500
3 Ag 0.8769 0.1231 0.7500
4 Ag 0.1231 0.8769 0.2500
5 Ag 0.4426 0.5574 0.2500
6 Ag 0.5574 0.4426 0.7500

Results
Energy above the lowest structure with this stoichiometry (eV per formula unit): 0.17
Formation energy from the elements (eV per atom): 0.332

---

# 15
## CoAg2 (PBE)

Data for a relaxed CoAg2 crystal.

a = 6.7144 Å, b = 2.8679 Å, c = 9.8775 Å
α = 90.00°, β = 90.00°, γ = 90.00°
Fractional positions:
1 Co 0.0677 0.2500 0.9217
2 Co 0.4323 0.7500 0.4217
3 Co 0.5677 0.2500 0.5783
4 Co 0.9323 0.7500 0.0783
5 Ag 0.1391 0.2500 0.2749
6 Ag 0.1567 0.2500 0.5678
7 Ag 0.3433 0.7500 0.0678
8 Ag 0.3609 0.7500 0.7749
9 Ag 0.6391 0.2500 0.2251
10 Ag 0.6567 0.2500 0.9322
11 Ag 0.8433 0.7500 0.4322
12 Ag 0.8609 0.7500 0.7251

Results
Energy above the lowest structure with this stoichiometry (eV per formula unit): 0.10
Formation energy from the elements (eV per atom): 0.306

---

# 16
## CoAg2 (PBE)

Data for a relaxed CoAg2 crystal.

a = 5.0737 Å, b = 5.0737 Å, c = 7.1764 Å
α = 69.92°, β = 69.92°, γ = 33.24°
Fractional positions:
1 Co 0.6932 0.6932 0.4315
2 Co 0.3068 0.3068 0.5685
3 Ag 0.9866 0.9866 0.7179
4 Ag 0.6629 0.6629 0.9057
5 Ag 0.3371 0.3371 0.0943
6 Ag 0.0134 0.0134 0.2821

Results
Energy above the lowest structure with this stoichiometry (eV per formula unit): 0.00
Formation energy from the elements (eV per atom): 0.274

---

# 17
## Co3Ag (PBE)

Data for a relaxed Co3Ag crystal.

a = 2.6431 Å, b = 2.6431 Å, c = 7.3173 Å
α = 90.00°, β = 90.00°, γ = 90.03°
Fractional positions:
1 Ag 0.0000 0.0000 0.0000
2 Co 0.0000 0.0000 0.5000
3 Co 0.5000 0.5000 0.2829
4 Co 0.5000 0.5000 0.7171

Results
Formation energy from the elements (eV per atom): 0.262

---

# 18
## CoAg (PBE)

Data for a relaxed CoAg crystal.

a = 4.7146 Å, b = 4.7146 Å, c = 4.7146 Å
α = 131.35°, β = 131.35°, γ = 71.27°
Fractional positions:
1 Ag 0.0000 0.0000 0.0000
2 Ag 0.7500 0.2500 0.5000
3 Co 0.2500 0.7500 0.5000
4 Co 0.5000 0.5000 0.0000

Results
Formation energy from the elements (eV per atom): 0.460

---

# 19
## CoAg (PBE)

Data for a relaxed CoAg crystal.

a = 9.4116 Å, b = 4.0077 Å, c = 6.3142 Å
α = 90.00°, β = 90.00°, γ = 90.00°
Fractional positions:
1 Co 0.2918 0.2500 0.5840
2 Co 0.7918 0.2500 0.9160
3 Co 0.7082 0.7500 0.4160
4 Co 0.2082 0.7500 0.0840
5 Co 0.1655 0.2500 0.2674
6 Co 0.6655 0.2500 0.2326
7 Co 0.8345 0.7500 0.7326
8 Co 0.3345 0.7500 0.7674
9 Ag 0.3980 0.2500 0.0320
10 Ag 0.8980 0.2500 0.4680
11 Ag 0.6020 0.7500 0.9680
12 Ag 0.1020 0.7500 0.5320
13 Ag 0.0716 0.2500 0.8600
14 Ag 0.5716 0.2500 0.6400
15 Ag 0.9284 0.7500 0.1400
16 Ag 0.4284 0.7500 0.3600

Results
Formation energy from the elements (eV per atom): 0.415

---

# 20
## CoAg (PBE)

Data for a relaxed CoAg crystal.

a = 7.6998 Å, b = 7.6998 Å, c = 7.6998 Å
α = 90.00°, β = 90.00°, γ = 90.00°
Fractional positions:
1 Co 0.1055 0.1055 0.1055
2 Co 0.1055 0.8945 0.8945
3 Co 0.8945 0.1055 0.8945
4 Co 0.8945 0.8945 0.1055
5 Co 0.6055 0.6055 0.6055
6 Co 0.6055 0.3945 0.3945
7 Co 0.3945 0.6055 0.3945
8 Co 0.3945 0.3945 0.6055
9 Ag 0.2939 0.2939 0.2939
10 Ag 0.2939 0.7061 0.7061
11 Ag 0.7061 0.2939 0.7061
12 Ag 0.7061 0.7061 0.2939
13 Ag 0.7939 0.7939 0.7939
14 Ag 0.7939 0.2061 0.2061
15 Ag 0.2061 0.7939 0.2061
16 Ag 0.2061 0.2061 0.7939

Results
Formation energy from the elements (eV per atom): 1.194

---

# 21
## CoAg2 (PBE)

Data for a relaxed CoAg2 crystal.

a = 5.2649 Å, b = 5.2649 Å, c = 8.8979 Å
α = 90.00°, β = 90.00°, γ = 120.00°
Fractional positions:
1 Co 0.3333 0.6667 0.0256
2 Co 0.3333 0.6667 0.4744
3 Co 0.6667 0.3333 0.5256
4 Co 0.6667 0.3333 0.9744
5 Ag 0.0000 0.0000 0.0000
6 Ag 0.0000 0.0000 0.5000
7 Ag 0.1697 0.3395 0.7500
8 Ag 0.1697 0.8303 0.7500
9 Ag 0.3395 0.1697 0.2500
10 Ag 0.6605 0.8303 0.7500
11 Ag 0.8303 0.1697 0.2500
12 Ag 0.8303 0.6605 0.2500

Results
Energy above the lowest structure with this stoichiometry (eV per formula unit): 1.43
Formation energy from the elements (eV per atom): 0.752

---

# 22
## Co5Ag (PBE)

Data for a relaxed Co5Ag crystal.

a = 4.9132 Å, b = 4.9132 Å, c = 6.1267 Å
α = 73.81°, β = 73.81°, γ = 31.00°
Fractional positions:
1 Co 0.6318 0.6318 0.2745
2 Co 0.3251 0.3251 0.3716
3 Co 0.9512 0.9512 0.5945
4 Co 0.6646 0.6646 0.6623
5 Co 0.2732 0.2732 0.9136
6 Ag 0.9874 0.9874 0.0168

Results
Formation energy from the elements (eV per atom): 0.233

---

# 23
## Co5Ag3 (PBE)

Data for a relaxed Co5Ag3 crystal.

a = 7.4911 Å, b = 7.4911 Å, c = 7.5903 Å
α = 94.99°, β = 94.99°, γ = 144.34°
Fractional positions:
1 Co 0.0764 0.7372 0.7639
2 Co 0.2865 0.0546 0.3392
3 Co 0.2381 0.7381 0.4736
4 Co 0.2372 0.5764 0.7639
5 Co 0.4462 0.2144 0.6617
6 Co 0.5546 0.7865 0.3392
7 Co 0.7636 0.4244 0.2369
8 Co 0.7627 0.2627 0.5273
9 Co 0.7144 0.9462 0.6617
10 Co 0.9244 0.2636 0.2369
11 Ag 0.1982 0.3026 0.5004
12 Ag 0.1959 0.3050 0.0004
13 Ag 0.2939 0.7939 0.1019
14 Ag 0.7069 0.2069 0.8989
15 Ag 0.8050 0.6959 0.0004
16 Ag 0.8026 0.6982 0.5004

Results
Energy above the lowest structure with this stoichiometry (eV per formula unit): 0.00
Formation energy from the elements (eV per atom): 0.468

---

# 24
## CoAg (PBE)

Data for a relaxed CoAg crystal.

a = 5.7733 Å, b = 5.7733 Å, c = 5.8493 Å
α = 75.68°, β = 75.68°, γ = 27.82°
Fractional positions:
1 Co 0.6860 0.6860 0.5652
2 Co 0.0408 0.0408 0.4462
3 Co 0.6810 0.6810 0.1665
4 Ag 0.0475 0.0475 0.9236
5 Ag 0.3415 0.3415 0.7860
6 Ag 0.3699 0.3699 0.2792

Results
Formation energy from the elements (eV per atom): 0.340

---

Calculated density (g/cm3)
9.284; 9.175; 9.458; 9.393; 9.478; 9.438; 9.613; 9.336; 9.851; 9.492; 8.412; 6.115; 9.655; 9.667; 9.592; 9.649; 9.247; 9.581; 9.304; 4.854; 8.541; 9.168; 8.626; 9.444